A plane-wave DFT calculation with PBE was carried out for an optimized crystal structure of HoHCl4.

a b c (Å): 9.651 9.651 6.975
angles (deg): 91.29 91.29 143.01
Fractional positions:
Ho1 0.053 0.947 0.750
Ho2 0.947 0.053 0.250
H1 0.348 0.652 0.250
H2 0.652 0.348 0.750
Cl1 0.114 0.426 0.138
Cl2 0.180 0.278 0.585
Cl3 0.278 0.180 0.085
Cl4 0.426 0.114 0.638
Cl5 0.574 0.886 0.362
Cl6 0.722 0.820 0.915
Cl7 0.820 0.722 0.415
Cl8 0.886 0.574 0.862

Results
magnetization = 0.0 μB per formula unit
electronic total energy = -50.592 eV for the cell shown